Below is an optimized crystal structure of NiTe2AsI, with properties calculated at the GGA-PBE level.

Unit cell a=5.5052 b=5.5052 c=5.4801 alpha=90.00 beta=90.00 gamma=90.00
Site moments in Bohr magnetons follow the coordinates.
Fractional positions:
I1 0.0000 0.0000 0.5000  0.06
Ni1 0.5000 0.5000 0.5000  1.04
As1 0.0000 0.0000 0.0000  0.00
Te1 0.0000 0.5000 0.0000  0.15
Te2 0.5000 0.0000 0.0000  0.15

Calculated values
The density is 5.16 g/cm³. The formation energy from raw total energies is 0.966 eV per atom. Its density of states at the Fermi level is 12.23 states/eV/cell.